No. 1
Material: MgScW3
Method: DFT, meta-GGA SCAN
State: PBEsol geometry

Energy of formation from the pure elements in meV/atom: 2432
Total magnetization in μB/f.u.: 0.00

Cell lengths 4.6206, 4.6206, 4.6206 Å; angles 90.00, 90.00, 90.00 degrees
Last column: nearest neighbours and their distance in Å.
Space group Pm-3m (No. 221)
Asymmetric unit:
Mg 0.0000 0.0000 0.0000 x1  12 W 3.27
Sc 0.5000 0.5000 0.5000 x1  6 W 2.31
W 0.0000 0.5000 0.5000 x3  2 Sc 2.31


No. 2
Material: K2CoMo
Method: DFT, meta-GGA SCAN
State: PBEsol geometry

Energy of formation from the pure elements in meV/atom: 1619
Total magnetization in μB/f.u.: 0.00
Energy relative to the lowest polymorph listed for this composition in meV per atom: 147

Cell lengths 3.6659, 3.6659, 11.5001 Å; angles 90.00, 90.00, 90.00 degrees
Last column: nearest neighbours and their distance in Å.
Space group I4/mmm (No. 139)
Asymmetric unit:
K 0.0000 0.5000 0.2500 x4  4 K 2.59
Co 0.0000 0.0000 0.0000 x2  4 Mo 2.59
Mo 0.0000 0.0000 0.5000 x2  4 Co 2.59


No. 3
Material: CdRhIN2
Method: DFT, meta-GGA SCAN
State: PBEsol geometry

Total magnetization in μB/f.u.: 5.10

Cell lengths 4.0662, 4.0662, 6.2561 Å; angles 90.00, 90.00, 90.00 degrees
Last column: nearest neighbours and their distance in Å.
Space group P4/mmm (No. 123)
Asymmetric unit:
Cd 0.0000 0.0000 0.0000 x1  4 N 2.03
Rh 0.5000 0.5000 0.5000 x1  4 I 2.88
I 0.0000 0.0000 0.5000 x1  4 Rh 2.88, 2 Cd 3.13
N 0.0000 0.5000 0.0000 x2  2 Cd 2.03


Number 1: total DFT energy (no corrections) -43.22 eV per atom. Number 2: total DFT energy (no corrections) -15.59 eV per atom. Number 3: total DFT energy (no corrections) -22.09 eV per atom.